Entry from Alexandria: crystalline ScHgF2 at its relaxed geometry (PBE).

Calculated values
calculated total energy: -19.73 eV per formula unit
uncorrected formation energy: -2338 meV per atom
SG: I4_1/amd
total magnetization: 0.18 μB/cell

Cell lengths 5.572, 5.572, 7.018 Å; angles 66.61, 66.61, 90.00 degrees
Sites, in units of the cell vectors:
F1 0.875 0.625 0.750
F2 0.375 0.125 0.250
F3 0.375 0.625 0.250
F4 0.375 0.625 0.750
Sc1 0.250 0.750 0.500
Sc2 0.500 0.500 0.000
Hg1 0.750 0.250 0.500
Hg2 0.000 0.000 0.000


Entry from Alexandria: crystalline Fe3W4 at its relaxed geometry (PBE).

Calculated values
calculated total energy: -76.06 eV per formula unit
SG: I4/mmm
energy of formation: 110 kJ/mol of formula units
total magnetization: 6.26 μB/cell

Cell lengths 10.548, 10.548, 10.548 Å; angles 163.03, 163.03, 24.09 degrees
Sites, in units of the cell vectors:
Fe1 0.718 0.718 0.000
Fe2 0.282 0.282 0.000
Fe3 0.000 0.000 0.000
W1 0.852 0.852 0.000
W2 0.148 0.148 0.000
W3 0.429 0.429 0.000
W4 0.571 0.571 0.000


Entry from Alexandria: crystalline KNaLiPt2 at its relaxed geometry (PBE).

Calculated values
calculated total energy: -11.65 eV per formula unit
SG: P4/mmm
energy of formation: 459 kJ/mol of formula units
total magnetization: 0.00 μB/cell

Cell lengths 5.413, 4.646, 5.413 Å; angles 90.00, 90.00, 90.00 degrees
Sites, in units of the cell vectors:
K1 0.000 0.000 0.000
Pt1 0.500 0.000 0.000
Pt2 0.000 0.000 0.500
Na1 0.500 0.500 0.500
Li1 0.000 0.500 0.000